A plane-wave DFT calculation with GGA-PBE was carried out for a relaxed LiAl3Ag3 crystal.

Summary:
**Energy of formation**: -0.8 eV/f.u.
**Excess energy over the best structure of this formula in the dataset**: 0 meV per atom

Lattice parameters (Å, degrees): 4.6140 7.5816 7.5817 120.00 90.00 90.00
Last column: nearest neighbours and their distance in Å.
Fractional coordinates of all 14 atoms:
Li  0.7500  0.3333  0.6667  9 Ag 2.82-2.90, 3 Al 2.87
Li  0.2500  0.6667  0.3333  9 Ag 2.82-2.90, 3 Al 2.87
Al  0.7500  0.7593  0.9658  5 Ag 2.70-2.85, 6 Al 2.87-2.96, 1 Li 2.87
Al  0.7500  0.2065  0.2407  5 Ag 2.70-2.85, 6 Al 2.87-2.96, 1 Li 2.87
Al  0.7500  0.0342  0.7936  5 Ag 2.70-2.85, 6 Al 2.87-2.96, 1 Li 2.87
Al  0.2500  0.2407  0.0342  5 Ag 2.70-2.85, 6 Al 2.87-2.96, 1 Li 2.87
Al  0.2500  0.7935  0.7593  5 Ag 2.70-2.85, 6 Al 2.87-2.96, 1 Li 2.87
Al  0.2500  0.9658  0.2064  5 Ag 2.70-2.85, 6 Al 2.87-2.96, 1 Li 2.87
Ag  0.7500  0.9147  0.3728  5 Al 2.70-2.85, 3 Li 2.82-2.90, 2 Ag 2.87
Ag  0.7500  0.4581  0.0853  5 Al 2.70-2.85, 3 Li 2.82-2.90, 2 Ag 2.87
Ag  0.7500  0.6272  0.5419  5 Al 2.70-2.85, 3 Li 2.82-2.90, 2 Ag 2.87
Ag  0.2500  0.0853  0.6272  5 Al 2.70-2.85, 3 Li 2.82-2.90, 2 Ag 2.87
Ag  0.2500  0.5419  0.9147  5 Al 2.70-2.85, 3 Li 2.82-2.90, 2 Ag 2.87
Ag  0.2500  0.3728  0.4581  5 Al 2.70-2.85, 3 Li 2.82-2.90, 2 Ag 2.87

---

A plane-wave DFT calculation with GGA-PBE was carried out for a relaxed CsLi2TcI8 crystal.

Summary:
**E_form (uncorrected)**: -0.62 eV per atom

Lattice parameters (Å, degrees): 7.4923 6.6346 10.5134 67.71 90.69 96.36
Last column: nearest neighbours and their distance in Å.
Fractional coordinates of all 12 atoms:
Cs  0.0000  0.0000  0.5000  4 I 3.72-3.94
Li  0.5919  0.4871  0.8089  4 I 2.82-2.97
Li  0.4081  0.5129  0.1911  4 I 2.82-2.97
Tc  0.0000  0.0000  0.0000  6 I 2.67-2.80
I  0.0884  0.6649  0.2399  1 Tc 2.79, 1 Li 2.82
I  0.6799  0.7560  0.9763  1 Tc 2.80, 2 Li 2.91-2.97
I  0.8144  0.1556  0.1507  1 Tc 2.67
I  0.9116  0.3351  0.7601  1 Tc 2.79, 1 Li 2.82
I  0.3201  0.2440  0.0237  1 Tc 2.80, 2 Li 2.91-2.97
I  0.1856  0.8444  0.8493  1 Tc 2.67
I  0.4992  0.7336  0.5231  1 Li 2.94
I  0.5008  0.2664  0.4769  1 Li 2.94

---

A plane-wave DFT calculation with GGA-PBE was carried out for a relaxed MnV4Re2 crystal.

Summary:
**Energy of formation**: 0.5 eV/f.u.
**Excess energy over the best structure of this formula in the dataset**: 0 meV per atom

Lattice parameters (Å, degrees): 5.1204 5.1204 5.1204 108.91 109.75 109.75
Last column: nearest neighbours and their distance in Å.
Fractional coordinates of all 7 atoms:
Mn  0.0000  0.0000  0.0000  8 V 2.56
V  0.5000  0.0000  0.0000  4 Re 2.56, 2 Mn 2.56
V  0.5000  0.5000  0.5000  2 Mn 2.56, 4 Re 2.56
V  0.0000  0.0000  0.5000  4 Re 2.56, 2 Mn 2.56
V  0.0000  0.5000  0.0000  4 Re 2.56, 2 Mn 2.56
Re  0.5000  0.5000  0.0000  8 V 2.56
Re  0.5000  0.0000  0.5000  8 V 2.56

---

A plane-wave DFT calculation with GGA-PBE was carried out for a relaxed BiAsC crystal.

Summary:
**Energy of formation**: 1.9 eV/f.u.
**Excess energy over the best structure of this formula in the dataset**: 130 meV per atom

Lattice parameters (Å, degrees): 4.7607 5.0125 6.7967 68.85 72.79 84.89
Last column: nearest neighbours and their distance in Å.
Fractional coordinates of all 6 atoms:
C  0.8942  0.1093  0.1122  1 C 1.33
C  0.8013  0.1919  0.2858  1 C 1.33
As  0.2472  0.8762  0.0203  1 C 2.03
As  0.6526  0.2497  0.8923  1 C 2.04
Bi  0.0024  0.0005  0.5864  1 C 2.36
Bi  0.4442  0.5057  0.3886  1 C 2.34

---

A plane-wave DFT calculation with GGA-PBE was carried out for a relaxed CaCd3In6 crystal.

Summary:
**Energy of formation**: -0.7 eV/f.u.

Lattice parameters (Å, degrees): 8.0064 9.0182 9.0182 124.96 90.00 90.00
Last column: nearest neighbours and their distance in Å.
Fractional coordinates of all 20 atoms:
Ca  0.1541  0.1932  0.8068  5 Cd 3.32-3.44, 6 In 3.35-3.41
Ca  0.6541  0.8068  0.1932  5 Cd 3.32-3.44, 6 In 3.35-3.41
Cd  0.4148  0.8614  0.5273  2 Cd 3.00-3.24, 5 In 3.00-3.30, 2 Ca 3.32-3.36
Cd  0.9148  0.5273  0.8614  2 Cd 3.00-3.24, 5 In 3.00-3.30, 2 Ca 3.32-3.36
Cd  0.1936  0.4071  0.5929  4 In 2.90-2.91, 2 Cd 3.00
Cd  0.6936  0.5929  0.4071  4 In 2.90-2.91, 2 Cd 3.00
Cd  0.9148  0.1386  0.4727  2 Cd 3.00-3.24, 5 In 3.00-3.30, 2 Ca 3.32-3.36
Cd  0.4148  0.4727  0.1386  2 Cd 3.00-3.24, 5 In 3.00-3.30, 2 Ca 3.32-3.36
In  0.1222  0.7559  0.6563  2 Cd 2.91-3.00, 3 In 3.16-3.25
In  0.6222  0.6563  0.7559  2 Cd 2.91-3.00, 3 In 3.16-3.25
In  0.2917  0.6695  0.9658  3 Cd 2.90-3.20, 2 In 3.04-3.22
In  0.7917  0.9658  0.6695  3 Cd 2.90-3.20, 2 In 3.04-3.22
In  0.4432  0.0365  0.9635  2 In 3.16, 2 Cd 3.30, 1 Ca 3.41
In  0.5370  0.2830  0.7170  6 In 3.25-3.47, 5 Cd 3.30-3.52, 1 Ca 3.39
In  0.0370  0.7170  0.2830  6 In 3.25-3.47, 5 Cd 3.30-3.52, 1 Ca 3.39
In  0.9432  0.9635  0.0365  2 In 3.16, 2 Cd 3.30, 1 Ca 3.41
In  0.2917  0.0342  0.3305  3 Cd 2.90-3.20, 2 In 3.04-3.22
In  0.7917  0.3305  0.0342  3 Cd 2.90-3.20, 2 In 3.04-3.22
In  0.1222  0.3437  0.2441  2 Cd 2.91-3.00, 3 In 3.16-3.25
In  0.6222  0.2441  0.3437  2 Cd 2.91-3.00, 3 In 3.16-3.25

---

A plane-wave DFT calculation with GGA-PBE was carried out for a relaxed Tb2Dy3Ag3 crystal.

Summary:
**Energy of formation**: -1.7 eV/f.u.

Lattice parameters (Å, degrees): 3.6802 5.2553 11.2293 103.53 99.43 90.00
Last column: nearest neighbours and their distance in Å.
Fractional coordinates of all 8 atoms:
Tb  0.2684  0.7684  0.5368  2 Ag 3.09, 4 Tb 3.30
Tb  0.7316  0.2316  0.4632  2 Ag 3.09, 4 Tb 3.30
Dy  0.3800  0.3800  0.7599  6 Ag 3.17-3.21
Dy  0.6200  0.6200  0.2401  6 Ag 3.17-3.21
Dy  0.5000  0.0000  0.0000  8 Ag 3.11-3.21
Ag  0.8835  0.8835  0.7671  2 Tb 3.09, 6 Dy 3.11-3.21
Ag  0.0000  0.5000  0.0000  8 Dy 3.17-3.21
Ag  0.1165  0.1165  0.2329  2 Tb 3.09, 6 Dy 3.11-3.21

---

A plane-wave DFT calculation with GGA-PBE was carried out for a relaxed BeAg2Au crystal.

Summary:
**Energy of formation**: -0.1 eV/f.u.

Lattice parameters (Å, degrees): 2.9211 2.9243 7.2668 90.00 90.00 90.00
Last column: nearest neighbours and their distance in Å.
Fractional coordinates of all 4 atoms:
Be  0.5000  0.5000  0.7370  4 Au 2.46, 4 Ag 2.62
Au  0.0000  0.0000  0.5532  4 Be 2.46
Ag  0.0000  0.0000  0.9583  4 Be 2.62, 4 Ag 2.92
Ag  0.5000  0.5000  0.2515  8 Ag 2.92-2.97, 4 Au 3.01

---

A plane-wave DFT calculation with GGA-PBE was carried out for a relaxed Ba3MgGa4 crystal.

Summary:
**Energy of formation**: -2.5 eV/f.u.

Lattice parameters (Å, degrees): 6.2027 6.3690 12.9230 90.00 90.00 90.00
Last column: nearest neighbours and their distance in Å.
Fractional coordinates of all 16 atoms:
Mg  0.7284  0.5000  0.0000  4 Ga 2.74-2.93
Mg  0.2716  0.0000  0.5000  4 Ga 2.74-2.93
Ba  0.5724  0.0000  0.0000  2 Mg 3.33, 4 Ga 3.41-3.44
Ba  0.4276  0.5000  0.5000  2 Mg 3.33, 4 Ga 3.41-3.44
Ba  0.8083  0.5000  0.7393  1 Mg 3.40, 6 Ga 3.50-3.70
Ba  0.8083  0.5000  0.2607  1 Mg 3.40, 6 Ga 3.50-3.70
Ba  0.1917  0.0000  0.7607  1 Mg 3.40, 6 Ga 3.50-3.70
Ba  0.1917  0.0000  0.2393  1 Mg 3.40, 6 Ga 3.50-3.70
Ga  0.3170  0.5000  0.8887  3 Ga 2.72-2.88, 1 Mg 2.93
Ga  0.3170  0.5000  0.1113  3 Ga 2.72-2.88, 1 Mg 2.93
Ga  0.0703  0.2281  0.0000  3 Ga 2.72-2.91, 1 Mg 2.74
Ga  0.0703  0.7719  0.0000  3 Ga 2.72-2.91, 1 Mg 2.74
Ga  0.9297  0.7281  0.5000  3 Ga 2.72-2.91, 1 Mg 2.74
Ga  0.9297  0.2719  0.5000  3 Ga 2.72-2.91, 1 Mg 2.74
Ga  0.6830  0.0000  0.3887  3 Ga 2.72-2.88, 1 Mg 2.93
Ga  0.6830  0.0000  0.6113  3 Ga 2.72-2.88, 1 Mg 2.93

---

| no. | DOS at the Fermi energy (states/eV per atom) |
| --- | --- |
| 1 | 0.25 |
| 2 | 0.21 |
| 3 | 0.54 |
| 4 | 0.03 |
| 5 | 0.45 |
| 6 | 0.84 |
| 7 | 0.32 |
| 8 | 0.42 |